[1]
Density functional theory data (GGA-PBE) for crystalline PtPb4Au2 at its relaxed geometry.

a = 4.6851 Å, b = 4.6851 Å, c = 10.1340 Å
α = 76.63°, β = 76.63°, γ = 60.00°
Closest atoms and distances in Å follow each position.
Atoms (fractional coordinates):
1 Pb 0.1270 0.1270 0.6189  3 Pt 2.94, 3 Au 3.16
2 Pb 0.2986 0.2986 0.1043  4 Au 2.91-3.11
3 Pb 0.7014 0.7014 0.8957  4 Au 2.91-3.11
4 Pb 0.8730 0.8730 0.3811  3 Pt 2.94, 3 Au 3.16
5 Pt 0.5000 0.5000 0.5000  2 Au 2.79, 6 Pb 2.94
6 Au 0.5951 0.5951 0.2146  1 Pt 2.79, 4 Pb 2.91-3.11
7 Au 0.4049 0.4049 0.7854  1 Pt 2.79, 4 Pb 2.91-3.11

Summary:
- space group = R-3m (166)
- V (Å³/atom) = 26.52
- density (g/cm³) = 12.68
- final energy (eV per formula unit) = -28.2
- energy relative to the elements (meV per atom) = -106


[2]
Density functional theory data (GGA-PBE) for crystalline LiMgP2 at its relaxed geometry.

a = 3.5431 Å, b = 3.5431 Å, c = 5.1937 Å
α = 90.00°, β = 90.00°, γ = 90.00°
Closest atoms and distances in Å follow each position.
Atoms (fractional coordinates):
1 Mg 0.5000 0.5000 0.7826  6 P 2.55-2.72
2 P 0.5000 0.5000 0.2741  2 Mg 2.55-2.64, 4 Li 2.68
3 P 0.0000 0.0000 0.9873  1 Li 2.43, 4 Mg 2.72
4 Li 0.0000 0.0000 0.4560  5 P 2.43-2.68

Summary:
- space group = P4mm (99)
- V (Å³/atom) = 16.30
- density (g/cm³) = 2.37
- final energy (eV per formula unit) = -14.4
- energy relative to the elements (meV per atom) = -29


[3]
Density functional theory data (GGA-PBE) for crystalline LiSc2UN4 at its relaxed geometry.

a = 3.3061 Å, b = 5.4550 Å, c = 5.6093 Å
α = 105.97°, β = 90.00°, γ = 90.00°
Closest atoms and distances in Å follow each position.
Atoms (fractional coordinates):
1 Sc 0.0000 0.5000 0.5000  6 N 2.31-2.34
2 Sc 0.5000 0.0000 0.5000  6 N 2.17-2.26
3 N 0.5000 0.7456 0.7371  3 Sc 2.17-2.31, 1 Li 2.25, 2 U 2.39
4 N 0.5000 0.2544 0.2629  3 Sc 2.17-2.31, 1 Li 2.25, 2 U 2.39
5 N 0.0000 0.2142 0.7447  1 U 2.08, 2 Sc 2.26
6 N 0.0000 0.7858 0.2553  1 U 2.08, 2 Sc 2.26
7 U 0.0000 0.0000 0.0000  2 N 2.08
8 Li 0.5000 0.5000 0.0000  6 N 2.25-2.45

Summary:
- formation energy without anion corrections (eV per atom) = -1.46
- space group = P2/m (10)
- V (Å³/atom) = 12.16
- density (g/cm³) = 6.67
- final energy (eV per formula unit) = -70.8


[4]
Density functional theory data (GGA-PBE) for crystalline Hf2NbB2Ru5 at its relaxed geometry.

a = 3.1025 Å, b = 9.4772 Å, c = 9.4772 Å
α = 90.00°, β = 90.00°, γ = 90.00°
Closest atoms and distances in Å follow each position.
Atoms (fractional coordinates):
1 Ru 0.5000 0.4292 0.2819  2 B 2.23
2 Ru 0.5000 0.7819 0.9292  2 B 2.23
3 Ru 0.5000 0.2181 0.0708  2 B 2.23
4 Ru 0.5000 0.9292 0.2181  2 B 2.23
5 Ru 0.5000 0.2819 0.5708  2 B 2.23
6 Ru 0.5000 0.7181 0.4292  2 B 2.23
7 Ru 0.5000 0.0000 0.5000  4 B 2.25
8 Ru 0.5000 0.5000 0.0000  4 B 2.25
9 Ru 0.5000 0.5708 0.7181  2 B 2.23
10 Ru 0.5000 0.0708 0.7819  2 B 2.23
11 Hf 0.0000 0.1755 0.3245  3 B 2.72-2.86, 10 Ru 2.82-2.98
12 Hf 0.0000 0.6755 0.1755  3 B 2.72-2.86, 10 Ru 2.82-2.98
13 Hf 0.0000 0.8245 0.6755  3 B 2.72-2.86, 10 Ru 2.82-2.98
14 Hf 0.0000 0.3245 0.8245  3 B 2.72-2.86, 10 Ru 2.82-2.98
15 B 0.0000 0.8788 0.3788  6 Ru 2.23-2.25
16 B 0.0000 0.3788 0.1212  6 Ru 2.23-2.25
17 B 0.0000 0.1212 0.6212  6 Ru 2.23-2.25
18 B 0.0000 0.6212 0.8788  6 Ru 2.23-2.25
19 Nb 0.0000 0.0000 0.0000  8 Ru 2.67
20 Nb 0.0000 0.5000 0.5000  8 Ru 2.67

Summary:
- space group = P4/mbm (127)
- V (Å³/atom) = 13.93
- density (g/cm³) = 11.64
- final energy (eV per formula unit) = -96.3
- energy relative to the elements (meV per atom) = -655


[5]
Density functional theory data (GGA-PBE) for crystalline MnSiP2 at its relaxed geometry.

a = 2.9260 Å, b = 2.9260 Å, c = 6.5341 Å
α = 90.00°, β = 90.00°, γ = 90.00°
Closest atoms and distances in Å follow each position.
Atoms (fractional coordinates):
1 P 0.5000 0.5000 0.3326  4 Si 2.42, 1 Mn 2.56
2 P 0.0000 0.0000 0.9195  4 Mn 2.43, 1 Si 2.59
3 Mn 0.5000 0.5000 0.7244  5 P 2.43-2.56, 4 Si 2.45
4 Si 0.0000 0.0000 0.5234  5 P 2.42-2.59, 4 Mn 2.45

Summary:
- formation energy without anion corrections (eV per atom) = 0.06
- space group = P4mm (99)
- V (Å³/atom) = 13.98
- density (g/cm³) = 4.30
- final energy (eV per formula unit) = -25.2


[6]
Density functional theory data (GGA-PBE) for crystalline TbNdAl2Ge at its relaxed geometry.

a = 4.3556 Å, b = 4.4477 Å, c = 6.9416 Å
α = 108.69°, β = 108.28°, γ = 90.00°
Closest atoms and distances in Å follow each position.
Atoms (fractional coordinates):
1 Al 0.6797 0.1797 0.3594  2 Al 2.74, 2 Ge 3.03
2 Al 0.0458 0.0458 0.0916  1 Ge 2.49, 2 Al 2.74
3 Ge 0.8451 0.8451 0.6903  1 Al 2.49
4 Nd 0.4432 0.4432 0.8865  4 Ge 3.34, 6 Al 3.36-3.68
5 Tb 0.1983 0.6983 0.3965  2 Ge 2.84, 6 Al 2.92-3.12

Summary:
- space group = Imm2 (44)
- V (Å³/atom) = 24.04
- density (g/cm³) = 5.94
- final energy (eV per formula unit) = -23.9
- energy relative to the elements (meV per atom) = -484